First-principles (PBE) data for an optimized crystal structure of Th4InSn, as listed in the Alexandria database.

Results
Volume = 30.33 A^3/atom
Energy of formation = -226 meV/atom
Crystal system = tetragonal
Size of the total moment = 0.0 μB/f.u.

a b c (Å): 5.928 5.928 11.169
angles (deg): 105.35 105.39 90.00
Fractional positions:
Sn (0.250, 0.250, 0.000)
Sn (0.750, 0.750, 0.000)
Th (0.577, 0.576, 0.653)
Th (0.174, 0.674, 0.848)
Th (0.076, 0.076, 0.653)
Th (0.924, 0.924, 0.347)
Th (0.423, 0.424, 0.347)
Th (0.674, 0.174, 0.848)
Th (0.826, 0.326, 0.152)
Th (0.326, 0.826, 0.152)
In (0.500, 0.000, 0.500)
In (0.000, 0.500, 0.500)